1.
# TiGe3Pd2 PBE-GGA optimized geometry
# Formation energy from the elements: -0.4491 eV/atom
# Crystal system: orthorhombic
# Final energy: -5.805 eV/atom
data_TiGe3Pd2
_chemical_formula_sum 'Ti2 Ge6 Pd4'
_space_group_name_H-M_alt 'P m c 21'
_space_group_IT_number 26
_cell_length_a 3.694
_cell_length_b 9.517
_cell_length_c 5.652
_cell_angle_alpha 90.00
_cell_angle_beta 90.00
_cell_angle_gamma 90.00
loop_
_space_group_symop_operation_xyz
'x,y,z'
'-x,-y,z+1/2'
'-x,y,z'
'x,-y,z+1/2'
loop_
_atom_site_label
_atom_site_fract_x
_atom_site_fract_y
_atom_site_fract_z
Ti1 0.000 0.109 0.000
Ge1 0.000 0.383 0.841
Ge2 0.500 0.055 0.679
Ge3 0.500 0.278 0.196
Pd1 0.000 0.209 0.500
Pd2 0.500 0.458 0.522

2.
# ScCo3Si PBE-GGA optimized geometry
# Distance to the lowest polymorph of the same formula: 0 meV per atom
# Uncorrected formation energy: 0.01 eV per atom
# Crystal system: cubic
# Final energy: -6.604 eV/atom
data_ScCo3Si
_chemical_formula_sum 'Sc1 Co3 Si1'
_space_group_name_H-M_alt 'P m -3 m'
_space_group_IT_number 221
_space_group_name_Hall '-P 4 2 3'
_cell_length_a 4.162
_cell_length_b 4.162
_cell_length_c 4.162
_cell_angle_alpha 90.00
_cell_angle_beta 90.00
_cell_angle_gamma 90.00
loop_
_atom_site_label
_atom_site_fract_x
_atom_site_fract_y
_atom_site_fract_z
Sc1 0.000 0.000 0.000
Co1 0.000 0.500 0.500
Si1 0.500 0.500 0.500